Density functional theory data (PBE) for MnGaNi2Rh after structural relaxation.

The space group is P4/mmm (No. 123) and the conventional cell measures 4.2402, 4.2402 and 4.5628 Å, with angles of 90.00, 90.00 and 90.00 degrees. The distinct sites, in fractional coordinates, are Mn at (0.0000, 0.0000, 0.0000), Ga at (0.0000, 0.0000, 0.5000), Ni at (0.0000, 0.5000, 0.5000) and Rh at (0.5000, 0.5000, 0.0000).

For the density of states at the Fermi level, the calculation gives 0.816 states/eV/atom. The calculation puts the density at 6.98 g/cm3. The energy of formation from the pure elements is 0.886 eV per atom.



Density functional theory data (PBE) for BaNa2Y after structural relaxation.

The space group is I-42d (No. 122) and the conventional cell measures 9.5381, 9.5381 and 7.3309 Å, with angles of 90.00, 90.00 and 90.00 degrees. The distinct sites, in fractional coordinates, are Ba at (0.0000, 0.0000, 0.0000), Na at (0.2365, 0.2500, 0.6250) and Y at (0.0000, 0.0000, 0.5000).

For the density of states at the Fermi level, the calculation gives 1.364 states/eV/atom. The calculation puts the density at 2.71 g/cm3. The energy of formation from the pure elements is 0.465 eV per atom.



Density functional theory data (PBE) for Ac2Al3Ru after structural relaxation.

The space group is R-3m (No. 166, hexagonal axes) and the conventional cell measures 5.7711, 5.7711 and 14.1076 Å, with angles of 90.00, 90.00 and 120.00 degrees. The distinct sites, in fractional coordinates, are Ac at (0.0000, 0.0000, 0.1264), Al at (0.0000, 0.5000, 0.0000) and Ru at (0.0000, 0.0000, 0.5000).

For the density of states at the Fermi level, the calculation gives 0.805 states/eV/atom. The calculation puts the density at 7.79 g/cm3. The energy of formation from the pure elements is -0.320 eV per atom.



Density functional theory data (PBE) for NaSc3Re after structural relaxation.

The space group is Pm-3m (No. 221) and the conventional cell measures 5.1574, 5.1574 and 5.1574 Å, with angles of 90.00, 90.00 and 90.00 degrees. The distinct sites, in fractional coordinates, are Na at (0.0000, 0.0000, 0.0000), Sc at (0.0000, 0.5000, 0.5000) and Re at (0.5000, 0.5000, 0.5000).

For the density of states at the Fermi level, the calculation gives 1.013 states/eV/atom. The calculation puts the density at 4.16 g/cm3. The energy of formation from the pure elements is 0.263 eV per atom.